Density functional theory data (PBE) for a relaxed CsAcGaSe4 crystal.

## Properties
DOS(E_F) = 1.75 states/eV/f.u.
Energy relative to the elements, uncorrected = -1.276 eV per atom

Geometry as CIF:
```
data_CsAcGaSe4
_symmetry_space_group_name_H-M 'P 1'
_symmetry_Int_Tables_number 1
_symmetry_space_group_name_Hall 'P 1'
_cell_length_a 7.630
_cell_length_b 6.211
_cell_length_c 10.408
_cell_angle_alpha 90.00
_cell_angle_beta 104.24
_cell_angle_gamma 90.00
loop_
_atom_site_label
_atom_site_fract_x
_atom_site_fract_y
_atom_site_fract_z
Cs1 0.249 0.250 0.458
Cs2 0.751 0.750 0.542
Ac1 0.247 0.250 0.946
Ac2 0.753 0.750 0.054
Ga1 0.247 0.750 0.173
Ga2 0.753 0.250 0.827
Se1 0.053 0.750 0.318
Se2 0.104 0.750 0.937
Se3 0.498 0.014 0.210
Se4 0.498 0.486 0.210
Se5 0.502 0.514 0.790
Se6 0.502 0.986 0.790
Se7 0.896 0.250 0.063
Se8 0.947 0.250 0.682
```

Density functional theory data (PBE) for a relaxed TiBe5Co6 crystal.

## Properties
DOS(E_F) = 12.20 states/eV/f.u.
Calculated formation energy = -331 meV per atom

Geometry as CIF:
```
data_TiBe5Co6
_symmetry_space_group_name_H-M 'P 1'
_symmetry_Int_Tables_number 1
_symmetry_space_group_name_Hall 'P 1'
_cell_length_a 3.764
_cell_length_b 5.362
_cell_length_c 5.933
_cell_angle_alpha 90.00
_cell_angle_beta 108.58
_cell_angle_gamma 90.00
loop_
_atom_site_label
_atom_site_fract_x
_atom_site_fract_y
_atom_site_fract_z
Ti1 0.000 0.000 0.000
Be1 0.000 0.500 0.000
Be2 0.333 0.000 0.667
Be3 0.335 0.500 0.672
Be4 0.665 0.500 0.328
Be5 0.667 0.000 0.333
Co1 0.173 0.259 0.346
Co2 0.173 0.741 0.346
Co3 0.500 0.267 0.000
Co4 0.500 0.733 0.000
Co5 0.827 0.259 0.654
Co6 0.827 0.741 0.654
```

Density functional theory data (PBE) for a relaxed ThGe6Pd12 crystal.

## Properties
DOS(E_F) = 10.67 states/eV/f.u.
Calculated formation energy = -475 meV per atom

Geometry as CIF:
```
data_ThGe6Pd12
_symmetry_space_group_name_H-M 'P 1'
_symmetry_Int_Tables_number 1
_symmetry_space_group_name_Hall 'P 1'
_cell_length_a 7.230
_cell_length_b 7.230
_cell_length_c 7.230
_cell_angle_alpha 105.72
_cell_angle_beta 105.72
_cell_angle_gamma 105.72
loop_
_atom_site_label
_atom_site_fract_x
_atom_site_fract_y
_atom_site_fract_z
Th1 0.000 0.000 0.000
Ge1 0.257 0.257 0.697
Ge2 0.257 0.697 0.257
Ge3 0.303 0.743 0.743
Ge4 0.697 0.257 0.257
Ge5 0.743 0.303 0.743
Ge6 0.743 0.743 0.303
Pd1 0.122 0.500 0.878
Pd2 0.122 0.878 0.500
Pd3 0.160 0.413 0.413
Pd4 0.413 0.160 0.413
Pd5 0.413 0.413 0.160
Pd6 0.500 0.122 0.878
Pd7 0.500 0.878 0.122
Pd8 0.587 0.587 0.840
Pd9 0.587 0.840 0.587
Pd10 0.840 0.587 0.587
Pd11 0.878 0.122 0.500
Pd12 0.878 0.500 0.122
```

Density functional theory data (PBE) for a relaxed PmMgSi2Os crystal.

## Properties
DOS(E_F) = 4.01 states/eV/f.u.
Energy relative to the elements, uncorrected = -0.478 eV per atom

Geometry as CIF:
```
data_PmMgSi2Os
_symmetry_space_group_name_H-M 'P 1'
_symmetry_Int_Tables_number 1
_symmetry_space_group_name_Hall 'P 1'
_cell_length_a 6.175
_cell_length_b 6.175
_cell_length_c 6.175
_cell_angle_alpha 141.58
_cell_angle_beta 141.58
_cell_angle_gamma 55.46
loop_
_atom_site_label
_atom_site_fract_x
_atom_site_fract_y
_atom_site_fract_z
Pm1 0.000 0.000 0.000
Mg1 0.250 0.750 0.500
Si1 0.388 0.388 0.000
Si2 0.612 0.612 0.000
Os1 0.750 0.250 0.500
```

Density functional theory data (PBE) for a relaxed Li2Ho2PaS6 crystal.

## Properties
DOS(E_F) = 3.10 states/eV/f.u.
Energy relative to the elements, uncorrected = -1.754 eV per atom

Geometry as CIF:
```
data_Li2Ho2PaS6
_symmetry_space_group_name_H-M 'P 1'
_symmetry_Int_Tables_number 1
_symmetry_space_group_name_Hall 'P 1'
_cell_length_a 6.824
_cell_length_b 6.824
_cell_length_c 6.567
_cell_angle_alpha 99.96
_cell_angle_beta 99.96
_cell_angle_gamma 119.85
loop_
_atom_site_label
_atom_site_fract_x
_atom_site_fract_y
_atom_site_fract_z
Li1 0.170 0.830 0.000
Li2 0.830 0.170 0.000
Ho1 0.335 0.665 0.500
Ho2 0.665 0.335 0.500
Pa1 0.000 0.000 0.500
S1 0.074 0.411 0.744
S2 0.244 0.244 0.255
S3 0.411 0.074 0.744
S4 0.589 0.926 0.256
S5 0.756 0.756 0.745
S6 0.926 0.589 0.256
```

Density functional theory data (PBE) for a relaxed GaCoS2Cl crystal.

## Properties
DOS(E_F) = 3.30 states/eV/f.u.
Energy relative to the elements, uncorrected = 0.014 eV per atom

Geometry as CIF:
```
data_GaCoS2Cl
_symmetry_space_group_name_H-M 'P 1'
_symmetry_Int_Tables_number 1
_symmetry_space_group_name_Hall 'P 1'
_cell_length_a 4.392
_cell_length_b 4.392
_cell_length_c 5.431
_cell_angle_alpha 90.00
_cell_angle_beta 90.00
_cell_angle_gamma 90.00
loop_
_atom_site_label
_atom_site_fract_x
_atom_site_fract_y
_atom_site_fract_z
Ga1 0.000 0.000 0.000
Co1 0.500 0.500 0.500
S1 0.000 0.500 0.500
S2 0.500 0.000 0.500
Cl1 0.500 0.500 0.000
```

Density functional theory data (PBE) for a relaxed Mn3IrRh crystal.

## Properties
DOS(E_F) = 5.39 states/eV/f.u.
Calculated formation energy = 1290 meV per atom

Geometry as CIF:
```
data_Mn3IrRh
_symmetry_space_group_name_H-M 'P 1'
_symmetry_Int_Tables_number 1
_symmetry_space_group_name_Hall 'P 1'
_cell_length_a 4.598
_cell_length_b 4.598
_cell_length_c 4.598
_cell_angle_alpha 90.00
_cell_angle_beta 90.00
_cell_angle_gamma 90.00
loop_
_atom_site_label
_atom_site_fract_x
_atom_site_fract_y
_atom_site_fract_z
Mn1 0.000 0.000 0.500
Mn2 0.000 0.500 0.000
Mn3 0.500 0.000 0.000
Ir1 0.500 0.500 0.500
Rh1 0.000 0.000 0.000
```

Density functional theory data (PBE) for a relaxed Cs2TcSnF6 crystal.

## Properties
DOS(E_F) = 10.70 states/eV/f.u.
Energy relative to the elements, uncorrected = -2.084 eV per atom

Geometry as CIF:
```
data_Cs2TcSnF6
_symmetry_space_group_name_H-M 'P 1'
_symmetry_Int_Tables_number 1
_symmetry_space_group_name_Hall 'P 1'
_cell_length_a 6.468
_cell_length_b 6.468
_cell_length_c 6.468
_cell_angle_alpha 60.00
_cell_angle_beta 60.00
_cell_angle_gamma 60.00
loop_
_atom_site_label
_atom_site_fract_x
_atom_site_fract_y
_atom_site_fract_z
Cs1 0.250 0.250 0.250
Cs2 0.750 0.750 0.750
Tc1 0.000 0.000 0.000
Sn1 0.500 0.500 0.500
F1 0.237 0.237 0.763
F2 0.237 0.763 0.237
F3 0.237 0.763 0.763
F4 0.763 0.237 0.237
F5 0.763 0.237 0.763
F6 0.763 0.763 0.237
```

Density functional theory data (PBE) for a relaxed Os2PtN crystal.

## Properties
DOS(E_F) = 5.94 states/eV/f.u.
Energy relative to the elements, uncorrected = 0.889 eV per atom

Geometry as CIF:
```
data_Os2PtN
_symmetry_space_group_name_H-M 'P 1'
_symmetry_Int_Tables_number 1
_symmetry_space_group_name_Hall 'P 1'
_cell_length_a 6.393
_cell_length_b 6.393
_cell_length_c 6.393
_cell_angle_alpha 134.84
_cell_angle_beta 134.84
_cell_angle_gamma 65.77
loop_
_atom_site_label
_atom_site_fract_x
_atom_site_fract_y
_atom_site_fract_z
Os1 0.020 0.625 0.895
Os2 0.375 0.270 0.395
Os3 0.730 0.125 0.105
Os4 0.875 0.980 0.605
Pt1 0.250 0.750 0.500
Pt2 0.500 0.500 0.000
N1 0.000 0.000 0.000
N2 0.750 0.250 0.500
```

Density functional theory data (PBE) for a relaxed SmHfS2 crystal.

## Properties
DOS(E_F) = 2.73 states/eV/f.u.
Energy relative to the elements, uncorrected = -1.555 eV per atom

Geometry as CIF:
```
data_SmHfS2
_symmetry_space_group_name_H-M 'P 1'
_symmetry_Int_Tables_number 1
_symmetry_space_group_name_Hall 'P 1'
_cell_length_a 6.989
_cell_length_b 6.989
_cell_length_c 6.989
_cell_angle_alpha 30.94
_cell_angle_beta 30.94
_cell_angle_gamma 30.94
loop_
_atom_site_label
_atom_site_fract_x
_atom_site_fract_y
_atom_site_fract_z
Sm1 0.000 0.000 0.000
Hf1 0.824 0.824 0.824
S1 0.235 0.235 0.235
S2 0.421 0.421 0.421
```

Density functional theory data (PBE) for a relaxed K2SnSbMo crystal.

## Properties
DOS(E_F) = 4.35 states/eV/f.u.
Energy relative to the elements, uncorrected = 0.902 eV per atom

Geometry as CIF:
```
data_K2SnSbMo
_symmetry_space_group_name_H-M 'P 1'
_symmetry_Int_Tables_number 1
_symmetry_space_group_name_Hall 'P 1'
_cell_length_a 6.399
_cell_length_b 6.399
_cell_length_c 5.254
_cell_angle_alpha 90.00
_cell_angle_beta 90.00
_cell_angle_gamma 90.00
loop_
_atom_site_label
_atom_site_fract_x
_atom_site_fract_y
_atom_site_fract_z
K1 0.000 0.500 0.000
K2 0.500 0.000 0.000
Sn1 0.000 0.000 0.000
Sb1 0.500 0.500 0.500
Mo1 0.000 0.000 0.500
```

Density functional theory data (PBE) for a relaxed Pm2Dy3ThTe6 crystal.

## Properties
DOS(E_F) = 7.74 states/eV/f.u.
Energy relative to the elements, uncorrected = -1.272 eV per atom

Geometry as CIF:
```
data_Pm2Dy3ThTe6
_symmetry_space_group_name_H-M 'P 1'
_symmetry_Int_Tables_number 1
_symmetry_space_group_name_Hall 'P 1'
_cell_length_a 9.941
_cell_length_b 9.941
_cell_length_c 8.923
_cell_angle_alpha 104.86
_cell_angle_beta 104.86
_cell_angle_gamma 25.35
loop_
_atom_site_label
_atom_site_fract_x
_atom_site_fract_y
_atom_site_fract_z
Pm1 0.162 0.162 0.324
Pm2 0.838 0.838 0.676
Dy1 0.166 0.166 0.832
Dy2 0.500 0.500 0.500
Dy3 0.834 0.834 0.168
Th1 0.500 0.500 0.000
Te1 0.004 0.004 0.742
Te2 0.330 0.330 0.925
Te3 0.333 0.333 0.414
Te4 0.667 0.667 0.586
Te5 0.670 0.670 0.075
Te6 0.996 0.996 0.258
```